Entry from Alexandria: an optimized crystal structure of Ca2VO (PBE+U).

- Spin magnetization: 4.61 μB/f.u.
- Symmetry: I-42d (122)
- Electronic total energy: -0.17669 Ha/atom

The structure in CIF format:
```
data_Ca2VO
_symmetry_space_group_name_H-M 'P 1'
_symmetry_Int_Tables_number 1
_cell_length_a 6.6806
_cell_length_b 6.6806
_cell_length_c 6.6806
_cell_angle_alpha 117.27
_cell_angle_beta 117.27
_cell_angle_gamma 94.80
loop_
_symmetry_equiv_pos_as_xyz
'x,y,z'
loop_
_atom_site_label
_atom_site_fract_x
_atom_site_fract_y
_atom_site_fract_z
_atom_site_occupancy
Ca1 0.3750 0.2361 0.3611 1
Ca2 0.7639 0.1250 0.1389 1
Ca3 0.8750 0.0139 0.6389 1
Ca4 0.9861 0.6250 0.8611 1
V1 0.2500 0.7500 0.5000 1
V2 0.5000 0.5000 0.0000 1
O1 0.0000 0.0000 0.0000 1
O2 0.7500 0.2500 0.5000 1
```